# 1
VASP calculation (PBE-GGA) on crystalline ScFeCo at its relaxed geometry.

a b c (Å): 4.0800 4.0800 3.0950
angles (deg): 90.00 90.00 120.00
Closest atoms and distances in Å follow each position.
Fractional positions:
Co  0.0000  0.0000  0.1098  3 Fe 2.38
Fe  0.3333  0.6667  0.2188  3 Co 2.38
Sc  0.6667  0.3333  0.6715  6 Co 2.72-2.93, 6 Fe 2.74-2.90

## Properties
For the energy of formation, the calculation gives -38 meV/atom.

=====

# 2
VASP calculation (PBE-GGA) on crystalline ThCdAg2 at its relaxed geometry.

a b c (Å): 3.5123 5.1901 5.1901
angles (deg): 90.00 90.00 90.00
Closest atoms and distances in Å follow each position.
Fractional positions:
Ag  0.0000  0.5000  0.0000  4 Cd 3.13, 4 Th 3.13
Cd  0.5000  0.5000  0.5000  8 Ag 3.13
Th  0.5000  0.0000  0.0000  8 Ag 3.13
Ag  0.0000  0.0000  0.5000  4 Cd 3.13, 4 Th 3.13

## Properties
The value obtained for the offset from the most stable computed form is 184 meV per atom. For the energy of formation, the calculation gives 37 meV/atom.

=====

# 3
VASP calculation (PBE-GGA) on crystalline TaHgOs at its relaxed geometry.

a b c (Å): 4.5577 4.5577 2.9368
angles (deg): 90.00 90.00 120.00
Closest atoms and distances in Å follow each position.
Fractional positions:
Os  0.6667  0.3333  0.3799  3 Ta 2.71, 3 Hg 2.84, 2 Os 2.94
Hg  0.0000  0.0000  0.0173  3 Os 2.84, 6 Ta 2.90-3.14, 2 Hg 2.94
Ta  0.3333  0.6667  0.6028  3 Os 2.71, 3 Hg 2.90, 2 Ta 2.94

## Properties
The value obtained for the offset from the most stable computed form is 179 meV per atom. For the energy of formation, the calculation gives 426 meV/atom.

=====

# 4
VASP calculation (PBE-GGA) on crystalline Ac8Ge3AuI4 at its relaxed geometry.

a b c (Å): 9.3310 9.6221 9.3311
angles (deg): 119.01 120.00 90.00
Closest atoms and distances in Å follow each position.
Fractional positions:
I  0.5000  0.0000  0.0000  6 Ac 3.58
Ac  0.2345  0.7050  0.4690  1 Au 3.14, 2 Ge 3.15
I  0.0000  0.0000  0.5000  6 Ac 3.57
Ac  0.7361  0.7050  0.9706  1 Au 3.14, 2 Ge 3.15
Ac  0.2639  0.2950  0.0294  1 Au 3.14, 2 Ge 3.15
Ac  0.2648  0.2945  0.5296  3 Ge 3.15
Ac  0.7655  0.2950  0.5310  1 Au 3.14, 2 Ge 3.15
Ge  0.0000  0.5000  0.5000  6 Ac 3.15
I  0.0000  0.0000  0.0000  6 Ac 3.57
Ge  0.5000  0.5000  0.0000  6 Ac 3.15
Ac  0.2345  0.7050  0.9706  1 Au 3.14, 2 Ge 3.15
Ge  0.5000  0.5000  0.5000  6 Ac 3.15
Ac  0.7352  0.7055  0.4704  3 Ge 3.15
Ac  0.7655  0.2950  0.0294  1 Au 3.14, 2 Ge 3.15
I  0.5000  0.0000  0.5000  6 Ac 3.57
Au  0.0000  0.5000  0.0000  6 Ac 3.14

## Properties
For the uncorrected formation energy, the calculation gives -964 meV per atom.

=====

# 5
VASP calculation (PBE-GGA) on crystalline Ni2Sb2P at its relaxed geometry.

a b c (Å): 3.6215 3.6215 15.8166
angles (deg): 90.00 90.00 120.00
Closest atoms and distances in Å follow each position.
Fractional positions:
P  0.6667  0.3333  0.7500  6 Ni 2.40
Ni  0.0000  0.0000  0.8242  1 Ni 2.35, 3 P 2.40, 3 Sb 2.56
P  0.3333  0.6667  0.2500  6 Ni 2.40
Ni  0.0000  0.0000  0.3242  1 Ni 2.35, 3 P 2.40, 3 Sb 2.56
Sb  0.3333  0.6667  0.9172  3 Ni 2.56
Sb  0.6667  0.3333  0.0828  3 Ni 2.56
Sb  0.3333  0.6667  0.5828  3 Ni 2.56
Sb  0.6667  0.3333  0.4172  3 Ni 2.56
Ni  0.0000  0.0000  0.1758  1 Ni 2.35, 3 P 2.40, 3 Sb 2.56
Ni  0.0000  0.0000  0.6758  1 Ni 2.35, 3 P 2.40, 3 Sb 2.56

## Properties
For the uncorrected formation energy, the calculation gives -202 meV per atom. The value obtained for the offset from the most stable computed form is 0 meV per atom.

=====

# 6
VASP calculation (PBE-GGA) on crystalline Hg2AuCl at its relaxed geometry.

a b c (Å): 3.3626 3.3626 8.3077
angles (deg): 90.00 90.00 90.00
Closest atoms and distances in Å follow each position.
Fractional positions:
Hg  0.0000  0.0000  0.9993  8 Hg 3.36-3.41, 4 Cl 3.40
Au  0.0000  0.0000  0.5014  4 Cl 2.92, 4 Hg 2.94
Hg  0.5000  0.5000  0.2933  4 Au 2.94
Cl  0.5000  0.5000  0.7060  4 Au 2.92

## Properties
For the uncorrected formation energy, the calculation gives 68 meV per atom. The value obtained for the offset from the most stable computed form is 193 meV per atom.

=====

# 7
VASP calculation (PBE-GGA) on crystalline NiTe2I at its relaxed geometry.

a b c (Å): 10.0285 3.8505 13.3246
angles (deg): 90.00 90.00 90.00
Closest atoms and distances in Å follow each position.
Fractional positions:
Ni  0.5238  0.2500  0.4008  5 Te 2.52-2.56
Te  0.8662  0.2500  0.8116  2 Ni 2.52
Ni  0.9762  0.7500  0.9008  5 Te 2.52-2.56
Te  0.3612  0.7500  0.4273  3 Ni 2.55-2.56
Te  0.6388  0.2500  0.5727  3 Ni 2.55-2.56
Ni  0.0238  0.2500  0.0992  5 Te 2.52-2.56
I  0.8987  0.7500  0.3930  1 Te 2.87
I  0.1013  0.2500  0.6070  1 Te 2.87
Te  0.1338  0.7500  0.1884  2 Ni 2.52
Te  0.3662  0.2500  0.6884  2 Ni 2.52
I  0.6013  0.2500  0.8930  1 Te 2.87
Te  0.8612  0.7500  0.0727  3 Ni 2.55-2.56
Te  0.6338  0.7500  0.3116  2 Ni 2.52
Te  0.1388  0.2500  0.9273  3 Ni 2.55-2.56
I  0.3987  0.7500  0.1070  1 Te 2.87
Ni  0.4762  0.7500  0.5992  5 Te 2.52-2.56

## Properties
For the uncorrected formation energy, the calculation gives -96 meV per atom.

=====

# 8
VASP calculation (PBE-GGA) on crystalline CdGaAsBr2 at its relaxed geometry.

a b c (Å): 5.6960 5.6960 5.2642
angles (deg): 90.00 90.00 90.00
Closest atoms and distances in Å follow each position.
Fractional positions:
Cd  0.0000  0.0000  0.0000  2 As 2.63, 4 Br 2.85
Br  0.0000  0.5000  0.0000  2 Cd 2.85
Br  0.5000  0.0000  0.0000  2 Cd 2.85
As  0.0000  0.0000  0.5000  2 Cd 2.63
Ga  0.5000  0.5000  0.5000  8 Br 3.88, 4 As 4.03

## Properties
For the uncorrected formation energy, the calculation gives 56 meV per atom. The value obtained for the offset from the most stable computed form is 4 meV per atom.

=====

# 9
VASP calculation (PBE-GGA) on crystalline La2PmMgN at its relaxed geometry.

a b c (Å): 5.0416 5.1738 5.1738
angles (deg): 90.00 90.00 90.00
Closest atoms and distances in Å follow each position.
Fractional positions:
Mg  0.5000  0.5000  0.5000  8 La 3.61, 4 Pm 3.66
La  0.0000  0.5000  0.0000  2 N 2.59
La  0.0000  0.0000  0.5000  2 N 2.59
Pm  0.5000  0.0000  0.0000  2 N 2.52
N  0.0000  0.0000  0.0000  2 Pm 2.52, 4 La 2.59

## Properties
For the uncorrected formation energy, the calculation gives -611 meV per atom.

=====

# 10
VASP calculation (PBE-GGA) on crystalline TeHPdI2 at its relaxed geometry.

a b c (Å): 5.6079 5.6079 3.8058
angles (deg): 90.00 90.00 90.00
Closest atoms and distances in Å follow each position.
Fractional positions:
H  0.0000  0.0000  0.0000  2 Te 1.90
Pd  0.5000  0.5000  0.5000  8 I 3.39
I  0.0000  0.5000  0.0000  2 H 2.80
I  0.5000  0.0000  0.0000  2 H 2.80
Te  0.0000  0.0000  0.5000  2 H 1.90

## Properties
The value obtained for the offset from the most stable computed form is 43 meV per atom.

=====

# 11
VASP calculation (PBE-GGA) on crystalline Zr3Se5 at its relaxed geometry.

a b c (Å): 7.8963 7.8963 6.4342
angles (deg): 90.00 90.00 120.00
Closest atoms and distances in Å follow each position.
Fractional positions:
Se  0.7407  0.7407  0.2500  3 Zr 2.73-2.75
Zr  0.0000  0.6045  0.2500  7 Se 2.73-2.91
Se  0.3333  0.6667  0.0000  6 Zr 2.91, 2 Se 3.22
Se  0.0000  0.2593  0.2500  3 Zr 2.73-2.75
Zr  0.6045  0.6045  0.7500  7 Se 2.73-2.91
Zr  0.0000  0.3955  0.7500  7 Se 2.73-2.91
Se  0.2593  0.2593  0.7500  3 Zr 2.73-2.75
Zr  0.3955  0.3955  0.2500  7 Se 2.73-2.91
Se  0.2593  0.0000  0.2500  3 Zr 2.73-2.75
Se  0.6667  0.3333  0.0000  6 Zr 2.91, 2 Se 3.22
Se  0.7407  0.0000  0.7500  3 Zr 2.73-2.75
Se  0.0000  0.7407  0.7500  3 Zr 2.73-2.75
Se  0.3333  0.6667  0.5000  6 Zr 2.91, 2 Se 3.22
Zr  0.3955  0.0000  0.7500  7 Se 2.73-2.91
Se  0.6667  0.3333  0.5000  6 Zr 2.91, 2 Se 3.22
Zr  0.6045  0.0000  0.2500  7 Se 2.73-2.91

## Properties
For the uncorrected formation energy, the calculation gives -1036 meV per atom. The value obtained for the offset from the most stable computed form is 179 meV per atom.

=====

# 12
VASP calculation (PBE-GGA) on crystalline Ac2SiBiO6 at its relaxed geometry.

a b c (Å): 4.9577 5.6832 5.6832
angles (deg): 90.00 90.00 90.00
Closest atoms and distances in Å follow each position.
Fractional positions:
Bi  0.5507  0.5000  0.5000  6 O 2.40-2.55
O  0.7236  0.2120  0.7880  1 Si 1.79
O  0.7236  0.7880  0.7880  1 Si 1.79
O  0.7236  0.2120  0.2120  1 Si 1.79
O  0.0657  0.5000  0.5000  2 Bi 2.40-2.55
O  0.2775  0.0000  0.0000  1 Si 1.67
Ac  0.0223  0.5000  0.0000  4 O 2.51
Si  0.6139  0.0000  0.0000  5 O 1.67-1.79
Ac  0.0223  0.0000  0.5000  4 O 2.51
O  0.7236  0.7880  0.2120  1 Si 1.79

## Properties
For the uncorrected formation energy, the calculation gives -2436 meV per atom.

=====

# 13
VASP calculation (PBE-GGA) on crystalline ThHg3 at its relaxed geometry.

a b c (Å): 5.1072 5.7797 6.8568
angles (deg): 90.00 90.00 90.00
Closest atoms and distances in Å follow each position.
Fractional positions:
Th  0.5000  0.3495  0.5000  12 Hg 3.24-3.46
Hg  0.0000  0.1702  0.7488  8 Hg 3.17-3.52, 4 Th 3.24-3.46
Hg  0.0000  0.1702  0.2512  8 Hg 3.17-3.52, 4 Th 3.24-3.46
Hg  0.5000  0.8298  0.2488  8 Hg 3.17-3.52, 4 Th 3.24-3.46
Hg  0.0000  0.7022  0.5000  8 Hg 3.17-3.52, 4 Th 3.27-3.44
Hg  0.5000  0.8298  0.7512  8 Hg 3.17-3.52, 4 Th 3.24-3.46
Hg  0.5000  0.2978  0.0000  8 Hg 3.17-3.52, 4 Th 3.27-3.44
Th  0.0000  0.6505  0.0000  12 Hg 3.24-3.46

## Properties
For the energy of formation, the calculation gives -209 meV/atom.

=====

# 14
VASP calculation (PBE-GGA) on crystalline SiHgBi3 at its relaxed geometry.

a b c (Å): 5.4860 5.4860 5.4860
angles (deg): 90.00 90.00 90.00
Closest atoms and distances in Å follow each position.
Fractional positions:
Si  0.0000  0.0000  0.0000  6 Bi 2.74
Bi  0.0000  0.5000  0.0000  2 Si 2.74
Hg  0.5000  0.5000  0.5000  12 Bi 3.88
Bi  0.5000  0.0000  0.0000  2 Si 2.74
Bi  0.0000  0.0000  0.5000  2 Si 2.74

## Properties
For the uncorrected formation energy, the calculation gives 547 meV per atom. The value obtained for the offset from the most stable computed form is 0 meV per atom.

=====

# 15
VASP calculation (PBE-GGA) on crystalline PmNdHo2S6 at its relaxed geometry.

a b c (Å): 7.0273 7.0273 7.3999
angles (deg): 61.65 61.65 60.00
Closest atoms and distances in Å follow each position.
Fractional positions:
Ho  0.5154  0.5153  0.4540  6 S 2.70-2.77
S  0.2255  0.8962  0.2456  2 Ho 2.70-2.77, 1 Nd 2.81, 1 Pm 2.88
S  0.1292  0.3997  0.7453  2 Ho 2.70-2.77, 1 Pm 2.80, 1 Nd 2.91
S  0.7259  0.1291  0.7453  2 Ho 2.70-2.77, 1 Pm 2.80, 1 Nd 2.91
Pm  0.8112  0.8112  0.5664  6 S 2.80-2.88
Ho  0.0160  0.0161  0.9519  6 S 2.70-2.77
S  0.6327  0.2255  0.2456  2 Ho 2.70-2.77, 1 Nd 2.81, 1 Pm 2.88
S  0.3996  0.7259  0.7453  2 Ho 2.70-2.77, 1 Pm 2.80, 1 Nd 2.91
Nd  0.3099  0.3099  0.0702  6 S 2.81-2.91
S  0.8962  0.6327  0.2456  2 Ho 2.70-2.77, 1 Nd 2.81, 1 Pm 2.88

## Properties
For the uncorrected formation energy, the calculation gives -2041 meV per atom.

=====

# 16
VASP calculation (PBE-GGA) on crystalline Pu2Tl3PtSe6 at its relaxed geometry.

a b c (Å): 6.9475 6.9475 8.2791
angles (deg): 99.50 99.50 117.90
Closest atoms and distances in Å follow each position.
Fractional positions:
Se  0.0654  0.3683  0.1879  1 Pt 2.56, 1 Pu 2.85
Pu  0.6638  0.3362  0.0000  6 Se 2.85-2.93
Se  0.9346  0.6317  0.8121  1 Pt 2.56, 1 Pu 2.85
Se  0.2733  0.2733  0.7663  2 Pu 2.86, 1 Tl 3.13, 1 Pt 3.16
Se  0.7267  0.7267  0.2337  2 Pu 2.86, 1 Tl 3.13, 1 Pt 3.16
Pt  0.0000  0.0000  0.0000  4 Se 2.56
Tl  0.5000  0.5000  0.5000  6 Se 3.13-3.27
Pu  0.3362  0.6638  0.0000  6 Se 2.85-2.93
Se  0.3683  0.0654  0.1879  1 Pt 2.56, 1 Pu 2.85
Tl  0.1754  0.8246  0.5000  6 Se 3.21-3.43
Se  0.6317  0.9346  0.8121  1 Pt 2.56, 1 Pu 2.85
Tl  0.8246  0.1754  0.5000  6 Se 3.21-3.43

## Properties
For the uncorrected formation energy, the calculation gives -773 meV per atom.

=====

# 17
VASP calculation (PBE-GGA) on crystalline Mo2Br at its relaxed geometry.

a b c (Å): 9.9111 9.9111 3.2369
angles (deg): 90.00 90.00 152.32
Closest atoms and distances in Å follow each position.
Fractional positions:
Mo  0.7674  0.2326  0.7500  4 Mo 2.48-2.66
Br  0.9013  0.0987  0.2500  6 Mo 3.04-3.18, 2 Br 3.24
Br  0.0987  0.9013  0.7500  6 Mo 3.04-3.18, 2 Br 3.24
Mo  0.2326  0.7674  0.2500  4 Mo 2.48-2.66
Mo  0.6694  0.3306  0.2500  4 Mo 2.48-2.66
Mo  0.3306  0.6694  0.7500  4 Mo 2.48-2.66

## Properties
For the uncorrected formation energy, the calculation gives 366 meV per atom. The value obtained for the offset from the most stable computed form is 255 meV per atom.

=====

# 18
VASP calculation (PBE-GGA) on crystalline SiSnOs2 at its relaxed geometry.

a b c (Å): 4.1884 4.1884 8.8989
angles (deg): 76.39 76.39 90.00
Closest atoms and distances in Å follow each position.
Fractional positions:
Si  0.2500  0.7500  0.5000  4 Os 2.45
Sn  0.7500  0.2500  0.5000  4 Os 2.72, 4 Si 2.96
Si  0.5000  0.5000  0.0000  4 Os 2.45
Sn  0.0000  0.0000  0.0000  4 Os 2.72, 4 Si 2.96
Os  0.2030  0.6250  0.2500  2 Si 2.45, 2 Os 2.54, 2 Sn 2.72
Os  0.5470  0.1250  0.2500  2 Si 2.45, 2 Os 2.54, 2 Sn 2.72
Os  0.8750  0.7970  0.7500  2 Si 2.45, 2 Os 2.54, 2 Sn 2.72
Os  0.3750  0.4530  0.7500  2 Si 2.45, 2 Os 2.54, 2 Sn 2.72

## Properties
For the uncorrected formation energy, the calculation gives 580 meV per atom. The value obtained for the offset from the most stable computed form is 368 meV per atom.

=====

# 19
VASP calculation (PBE-GGA) on crystalline TmZr2Sb4 at its relaxed geometry.

a b c (Å): 4.1109 7.1496 13.8725
angles (deg): 90.00 90.00 106.71
Closest atoms and distances in Å follow each position.
Fractional positions:
Zr  0.1362  0.2724  0.0564  6 Sb 2.88-2.94
Sb  0.7660  0.5320  0.1322  3 Zr 2.91-2.94, 2 Tm 3.13
Tm  0.6100  0.2200  0.7500  6 Sb 3.08-3.13
Zr  0.1362  0.2724  0.4436  6 Sb 2.88-2.94
Zr  0.8638  0.7276  0.5564  6 Sb 2.88-2.94
Zr  0.8638  0.7276  0.9436  6 Sb 2.88-2.94
Sb  0.7660  0.5320  0.3678  3 Zr 2.91-2.94, 2 Tm 3.13
Sb  0.2340  0.4680  0.6322  3 Zr 2.91-2.94, 2 Tm 3.13
Sb  0.5000  0.0000  0.5000  4 Zr 2.88
Sb  0.5000  0.0000  0.0000  4 Zr 2.88
Sb  0.2340  0.4680  0.8678  3 Zr 2.91-2.94, 2 Tm 3.13
Sb  0.9424  0.8848  0.7500  2 Zr 2.89, 2 Tm 3.08
Tm  0.3900  0.7800  0.2500  6 Sb 3.08-3.13
Sb  0.0576  0.1152  0.2500  2 Zr 2.89, 2 Tm 3.08

## Properties
For the uncorrected formation energy, the calculation gives -521 meV per atom.

=====

# 20
VASP calculation (PBE-GGA) on crystalline TiAgPd at its relaxed geometry.

a b c (Å): 2.8731 6.8944 5.0576
angles (deg): 92.04 90.00 90.00
Closest atoms and distances in Å follow each position.
Fractional positions:
Ag  0.2500  0.6616  0.4031  3 Ti 2.84-2.86, 4 Ag 2.85-2.87, 5 Pd 2.88-2.96
Ag  0.7500  0.3384  0.5969  3 Ti 2.84-2.86, 4 Ag 2.85-2.87, 5 Pd 2.88-2.96
Pd  0.7500  0.6964  0.9138  3 Ti 2.68-2.70, 2 Pd 2.87, 5 Ag 2.88-2.96
Ti  0.7500  0.0013  0.2590  3 Pd 2.68-2.70, 6 Ti 2.83-2.99, 3 Ag 2.84-2.86
Ti  0.2500  0.9987  0.7410  3 Pd 2.68-2.70, 6 Ti 2.83-2.99, 3 Ag 2.84-2.86
Pd  0.2500  0.3036  0.0862  3 Ti 2.68-2.70, 2 Pd 2.87, 5 Ag 2.88-2.96

## Properties
The value obtained for the offset from the most stable computed form is 165 meV per atom. For the energy of formation, the calculation gives -160 meV/atom.

=====

Computed VASP energy, in the same sequence as the records: -22.01, -13.89, -22.11, -71.63, -52.46, -5.46, -55.99, -11.66, -27.58, -11.76, -102.72, -71.63, -18.32, -14.63, -63.85, -71.98, -44.47, -59.13, -83.41, -32.84 eV per cell.